{"formula": "La4CoRu", "functional": "meta-GGA SCAN", "state": "PBEsol geometry", "m_tot_mub_per_fu": 0.5, "formation_enthalpy_0k_mev_per_atom": 1063, "total_energy_ev_per_atom": -36.36, "cell": [[-2.742, -5.312, 0.246], [3.117, -5.021, -0.935], [1.102, -3.727, 4.549]], "species": ["Co", "La", "La", "La", "La", "Ru"], "fractional_positions": [[0.000, 0.000, 0.000], [0.375, 0.375, 0.375], [0.375, 0.375, 0.874], [0.874, 0.375, 0.375], [0.375, 0.874, 0.375], [0.750, 0.750, 0.750]]}

---

{"formula": "TlCo2Ni", "functional": "meta-GGA SCAN", "state": "PBEsol geometry", "m_tot_mub_per_fu": 4.0, "polymorph_energy_mev_per_atom": 0.0, "formation_enthalpy_0k_mev_per_atom": 467, "total_energy_ev_per_atom": -30.32, "cell": [[-0.990, -2.142, 1.608], [-0.393, -1.144, -4.301], [4.236, -1.253, 0.939]], "species": ["Ni", "Tl", "Co", "Co"], "fractional_positions": [[0.500, 0.000, 0.000], [0.000, 0.000, 0.500], [0.761, 0.522, 0.798], [0.239, 0.478, 0.202]]}

---

{"formula": "Be3Cu4", "functional": "meta-GGA SCAN", "state": "PBEsol geometry", "m_tot_mub_per_fu": 0.0, "polymorph_energy_mev_per_atom": 60.4, "formation_enthalpy_0k_mev_per_atom": -58, "total_energy_ev_per_atom": -10.61, "cell": [[-3.771, 1.394, 1.277], [2.117, -2.799, 2.340], [1.982, 3.343, 2.205]], "species": ["Be", "Be", "Be", "Cu", "Cu", "Cu", "Cu"], "fractional_positions": [[0.000, 0.500, 0.000], [0.500, 0.000, 0.000], [0.500, 0.500, 0.000], [0.000, 0.000, 0.748], [0.000, 0.000, 0.252], [0.333, 0.667, 0.500], [0.667, 0.333, 0.500]]}

---

{"formula": "CaPtAu2", "functional": "meta-GGA SCAN", "state": "PBEsol geometry", "m_tot_mub_per_fu": 0.0, "polymorph_energy_mev_per_atom": 41.9, "formation_enthalpy_0k_mev_per_atom": -604, "total_energy_ev_per_atom": -55.15, "cell": [[4.052, 0.000, 0.000], [0.000, 4.052, 0.000], [-2.026, -2.026, 4.344]], "species": ["Ca", "Au", "Au", "Pt"], "fractional_positions": [[0.000, 0.000, 0.000], [0.750, 0.250, 0.500], [0.250, 0.750, 0.500], [0.500, 0.500, 0.000]]}

---

{"formula": "Ta2BiMoAu", "functional": "meta-GGA SCAN", "state": "PBEsol geometry", "m_tot_mub_per_fu": 1.6, "formation_enthalpy_0k_mev_per_atom": 1986, "total_energy_ev_per_atom": -61.17, "cell": [[-4.439, 2.024, 0.058], [-1.248, -2.625, -3.919], [-1.729, -3.882, 3.151]], "species": ["Mo", "Au", "Bi", "Ta", "Ta"], "fractional_positions": [[0.500, 0.500, 0.500], [0.000, 0.000, 0.000], [0.000, 0.000, 0.500], [0.000, 0.500, 0.000], [0.500, 0.000, 0.000]]}

---

{"formula": "Be2RePdS", "functional": "meta-GGA SCAN", "state": "PBEsol geometry", "m_tot_mub_per_fu": 0.0, "total_energy_ev_per_atom": -23.02, "cell": [[4.270, 0.000, 0.000], [0.000, 4.270, 0.000], [0.000, 0.000, 4.689]], "species": ["Re", "S", "Pd", "Be", "Be"], "fractional_positions": [[0.000, 0.000, 0.000], [0.500, 0.500, 0.500], [0.000, 0.000, 0.500], [0.000, 0.500, 0.000], [0.500, 0.000, 0.000]]}

---

{"formula": "HfCoBr3", "functional": "meta-GGA SCAN", "state": "PBEsol geometry", "m_tot_mub_per_fu": 0.2, "total_energy_ev_per_atom": -27.37, "cell": [[-3.641, 2.440, 1.685], [-2.795, -1.934, -3.240], [-0.989, -3.515, 2.952]], "species": ["Co", "Hf", "Br", "Br", "Br"], "fractional_positions": [[0.000, 0.000, 0.000], [0.500, 0.500, 0.500], [0.000, 0.500, 0.000], [0.000, 0.000, 0.500], [0.500, 0.000, 0.000]]}

---

{"formula": "NdRe2SiC", "functional": "meta-GGA SCAN", "state": "PBEsol geometry", "m_tot_mub_per_fu": 0.0, "total_energy_ev_per_atom": -41.67, "cell": [[3.997, 0.000, 0.000], [-1.998, 5.435, 0.000], [0.000, 0.000, 7.282]], "species": ["Re", "Re", "Re", "Re", "Si", "Si", "Nd", "Nd", "C", "C"], "fractional_positions": [[0.175, 0.349, 0.438], [0.825, 0.651, 0.562], [0.825, 0.651, 0.938], [0.175, 0.349, 0.062], [0.735, 0.469, 0.250], [0.265, 0.531, 0.750], [0.457, 0.914, 0.250], [0.543, 0.086, 0.750], [0.000, 0.000, 0.500], [0.000, 0.000, 0.000]]}

---

{"formula": "CaSmMgNbO6", "functional": "meta-GGA SCAN", "state": "PBEsol geometry", "m_tot_mub_per_fu": 0.0, "total_energy_ev_per_atom": -16.25, "cell": [[-3.527, 3.036, -2.800], [-4.211, -1.823, 3.327], [1.233, 5.980, 4.837]], "species": ["Ca", "Ca", "Sm", "Sm", "Mg", "Mg", "Nb", "Nb", "O", "O", "O", "O", "O", "O", "O", "O", "O", "O", "O", "O"], "fractional_positions": [[0.487, 0.197, 0.249], [0.987, 0.803, 0.749], [0.517, 0.315, 0.753], [0.017, 0.685, 0.253], [0.002, 0.246, 0.500], [0.502, 0.754, 0.000], [0.501, 0.758, 0.501], [0.001, 0.242, 0.001], [0.187, 0.950, 0.058], [0.687, 0.050, 0.558], [0.803, 0.537, 0.944], [0.303, 0.463, 0.444], [0.199, 0.942, 0.446], [0.699, 0.058, 0.946], [0.794, 0.553, 0.549], [0.294, 0.447, 0.049], [0.609, 0.788, 0.254], [0.109, 0.212, 0.754], [0.401, 0.715, 0.746], [0.901, 0.285, 0.246]]}

---

{"formula": "NaInW3", "functional": "meta-GGA SCAN", "state": "PBEsol geometry", "m_tot_mub_per_fu": 0.0, "formation_enthalpy_0k_mev_per_atom": 3016, "total_energy_ev_per_atom": -46.32, "cell": [[-4.184, 1.695, 0.094], [-0.403, -0.748, -4.434], [-1.649, -4.117, 0.845]], "species": ["Na", "W", "W", "W", "In"], "fractional_positions": [[0.000, 0.000, 0.000], [0.000, 0.500, 0.000], [0.000, 0.000, 0.500], [0.500, 0.000, 0.000], [0.500, 0.500, 0.500]]}

---

{"formula": "Mg2ScSb", "functional": "meta-GGA SCAN", "state": "PBEsol geometry", "m_tot_mub_per_fu": 0.0, "total_energy_ev_per_atom": -15.70, "cell": [[3.823, 0.000, 0.000], [0.000, 3.823, 0.000], [0.000, 0.000, 6.203]], "species": ["Mg", "Mg", "Sb", "Sc"], "fractional_positions": [[0.000, 0.000, 0.006], [0.500, 0.500, 0.242], [0.000, 0.000, 0.522], [0.500, 0.500, 0.729]]}

---

{"formula": "Ta2AgW", "functional": "meta-GGA SCAN", "state": "PBEsol geometry", "m_tot_mub_per_fu": 0.0, "polymorph_energy_mev_per_atom": 187.9, "formation_enthalpy_0k_mev_per_atom": 388, "total_energy_ev_per_atom": -58.17, "cell": [[2.756, 0.000, 0.000], [-1.378, 4.737, -0.008], [0.000, -0.551, 5.178]], "species": ["Ag", "W", "Ta", "Ta"], "fractional_positions": [[0.500, 0.000, 0.000], [0.000, 0.000, 0.500], [0.755, 0.509, 0.748], [0.245, 0.491, 0.252]]}